A plane-wave DFT calculation with PBE was carried out for crystalline SrSmCd4 at its relaxed geometry.

Summary:
- E above lowest polymorph: 0 meV per atom
- Final energy: -1.99 eV/atom
- Space group: No. 47

Structure (extended XYZ):
```
6
Lattice="3.604 0.000 0.000 0.000 5.101 0.000 0.000 0.000 8.850" Properties=species:S:1:pos:R:3 pbc="T T T"
Sr 0.000 0.000 0.000
Sm 0.000 2.550 4.425
Cd 1.802 0.000 2.990
Cd 1.802 0.000 5.859
Cd 1.802 2.550 1.522
Cd 1.802 2.550 7.328
```

---

A plane-wave DFT calculation with PBE was carried out for crystalline SrSm3Cd4 at its relaxed geometry.

Summary:
- Final energy: -2.74 eV/atom
- Space group: No. 123

Structure (extended XYZ):
```
8
Lattice="5.444 0.000 0.000 0.000 5.444 0.000 0.000 0.000 7.800" Properties=species:S:1:pos:R:3 pbc="T T T"
Sr 0.000 0.000 0.000
Sm 0.000 0.000 3.900
Sm 2.722 2.722 0.000
Sm 2.722 2.722 3.900
Cd 0.000 2.722 2.032
Cd 0.000 2.722 5.768
Cd 2.722 0.000 2.032
Cd 2.722 0.000 5.768
```

---

A plane-wave DFT calculation with PBE was carried out for crystalline SrSmCd2 at its relaxed geometry.

Summary:
- Final energy: -2.38 eV/atom
- Space group: No. 123

Structure (extended XYZ):
```
4
Lattice="3.939 0.000 0.000 0.000 3.939 0.000 0.000 0.000 7.831" Properties=species:S:1:pos:R:3 pbc="T T T"
Sr 0.000 0.000 0.000
Sm 0.000 0.000 3.916
Cd 1.970 1.970 2.171
Cd 1.970 1.970 5.661
```

---

A plane-wave DFT calculation with PBE was carried out for crystalline Sr4SmCd5 at its relaxed geometry.

Summary:
- Final energy: -1.93 eV/atom
- Space group: No. 123

Structure (extended XYZ):
```
10
Lattice="3.989 0.000 0.000 0.000 3.989 0.000 0.000 0.000 20.174" Properties=species:S:1:pos:R:3 pbc="T T T"
Sr 0.000 0.000 2.077
Sr 0.000 0.000 6.214
Sr 0.000 0.000 13.960
Sr 0.000 0.000 18.097
Sm 0.000 0.000 10.087
Cd 1.994 1.994 0.000
Cd 1.994 1.994 4.133
Cd 1.994 1.994 8.353
Cd 1.994 1.994 11.821
Cd 1.994 1.994 16.041
```